(1)
PBE-GGA TmCuSe2, optimized geometry; calculated volume = 91.67 Å³ per cell; VASP energy = -5.0900 eV per atom
1.0
4.064 0.000 0.000
-2.032 3.520 0.000
0.000 0.000 6.408
Tm Cu Se
1 1 2
Direct
0.000 0.000 0.000
0.667 0.333 0.385
0.333 0.667 0.269
0.667 0.333 0.766


(2)
PBE-GGA Tm8Zn3CuSe4, optimized geometry; DOS(E_F) = 7.8 states/eV per cell; calculated volume = 375.17 Å³ per cell; VASP energy = -4.5500 eV per atom
1.0
3.876 2.238 7.211
-3.876 2.238 7.211
0.000 -4.475 7.211
Tm Zn Cu Se
8 3 1 4
Direct
0.246 0.752 0.752
0.248 0.248 0.248
0.248 0.248 0.754
0.248 0.754 0.248
0.752 0.246 0.752
0.752 0.752 0.246
0.752 0.752 0.752
0.754 0.248 0.248
0.000 0.500 0.500
0.500 0.000 0.500
0.500 0.500 0.000
0.000 0.000 0.000
0.000 0.000 0.500
0.000 0.500 0.000
0.500 0.000 0.000
0.500 0.500 0.500


(3)
PBE-GGA U3Cu5Se12, optimized geometry; DOS(E_F) = 74.2 states/eV per cell; calculated volume = 1798.03 Å³ per cell; VASP energy = -5.3669 eV per atom
1.0
-7.660 7.660 7.660
7.660 -7.660 7.660
7.660 7.660 -7.660
U Cu Se
12 20 48
Direct
0.125 0.250 0.375
0.125 0.375 0.750
0.250 0.375 0.125
0.250 0.875 0.625
0.375 0.125 0.250
0.375 0.750 0.125
0.625 0.250 0.875
0.625 0.875 0.750
0.750 0.125 0.375
0.750 0.625 0.875
0.875 0.625 0.250
0.875 0.750 0.625
0.000 0.000 0.000
0.000 0.000 0.500
0.000 0.500 0.000
0.000 0.500 0.500
0.125 0.750 0.875
0.125 0.875 0.250
0.250 0.125 0.875
0.250 0.625 0.375
0.375 0.250 0.625
0.375 0.625 0.750
0.500 0.000 0.000
0.500 0.000 0.500
0.500 0.500 0.000
0.500 0.500 0.500
0.625 0.375 0.250
0.625 0.750 0.375
0.750 0.375 0.625
0.750 0.875 0.125
0.875 0.125 0.750
0.875 0.250 0.125
0.040 0.215 0.126
0.040 0.324 0.913
0.087 0.626 0.411
0.087 0.960 0.676
0.089 0.715 0.676
0.089 0.874 0.413
0.126 0.040 0.215
0.126 0.587 0.911
0.176 0.215 0.589
0.176 0.460 0.587
0.215 0.126 0.040
0.215 0.589 0.176
0.285 0.324 0.911
0.285 0.460 0.374
0.324 0.911 0.285
0.324 0.913 0.040
0.374 0.285 0.460
0.374 0.589 0.913
0.411 0.087 0.626
0.411 0.824 0.785
0.413 0.089 0.874
0.413 0.824 0.540
0.460 0.374 0.285
0.460 0.587 0.176
0.540 0.413 0.824
0.540 0.626 0.715
0.587 0.176 0.460
0.587 0.911 0.126
0.589 0.176 0.215
0.589 0.913 0.374
0.626 0.411 0.087
0.626 0.715 0.540
0.676 0.087 0.960
0.676 0.089 0.715
0.715 0.540 0.626
0.715 0.676 0.089
0.785 0.411 0.824
0.785 0.874 0.960
0.824 0.540 0.413
0.824 0.785 0.411
0.874 0.413 0.089
0.874 0.960 0.785
0.911 0.126 0.587
0.911 0.285 0.324
0.913 0.040 0.324
0.913 0.374 0.589
0.960 0.676 0.087
0.960 0.785 0.874


Number 1: theoretical density 7.072 g/cm³. Number 2: theoretical density 8.530 g/cm³. Number 3: theoretical density 7.312 g/cm³.